The following is a DFT calculation (PBE) of Na3Si3SnO9F after structural relaxation.

Results
Energy, eV/atom: -6.621
Symmetry: C2/m (12)

a = 8.896 Å, b = 8.896 Å, c = 6.605 Å
α = 102.98°, β = 102.98°, γ = 105.95°
Sites, in units of the cell vectors:
Na (0.016, 0.016, 0.264)
Na (0.107, 0.377, 0.077)
Na (0.377, 0.107, 0.077)
Na (0.623, 0.893, 0.923)
Na (0.893, 0.623, 0.923)
Na (0.984, 0.984, 0.736)
Si (0.186, 0.407, 0.601)
Si (0.287, 0.713, 0.000)
Si (0.407, 0.186, 0.601)
Si (0.593, 0.814, 0.399)
Si (0.713, 0.287, 0.000)
Si (0.814, 0.593, 0.399)
Sn (0.226, 0.774, 0.500)
Sn (0.774, 0.226, 0.500)
O (0.018, 0.250, 0.536)
O (0.173, 0.723, 0.160)
O (0.177, 0.524, 0.444)
O (0.227, 0.516, 0.859)
O (0.250, 0.018, 0.536)
O (0.277, 0.827, 0.840)
O (0.337, 0.337, 0.589)
O (0.476, 0.823, 0.556)
O (0.484, 0.773, 0.141)
O (0.516, 0.227, 0.859)
O (0.524, 0.177, 0.444)
O (0.663, 0.663, 0.411)
O (0.723, 0.173, 0.160)
O (0.750, 0.982, 0.464)
O (0.773, 0.484, 0.141)
O (0.823, 0.476, 0.556)
O (0.827, 0.277, 0.840)
O (0.982, 0.750, 0.464)
F (0.148, 0.148, 0.063)
F (0.852, 0.852, 0.937)



The following is a DFT calculation (PBE) of Na5Tb4Si4O16F after structural relaxation.

Results
Energy, eV/atom: -7.202
Symmetry: I-4 (82)

a = 8.722 Å, b = 8.722 Å, c = 8.722 Å
α = 95.63°, β = 95.63°, γ = 143.50°
Sites, in units of the cell vectors:
Na (0.000, 0.000, 0.000)
Na (0.117, 0.601, 0.695)
Na (0.399, 0.094, 0.516)
Na (0.578, 0.883, 0.484)
Na (0.906, 0.422, 0.305)
Tb (0.341, 0.408, 0.702)
Tb (0.361, 0.659, 0.067)
Tb (0.592, 0.294, 0.933)
Tb (0.706, 0.639, 0.298)
Si (0.092, 0.236, 0.351)
Si (0.259, 0.908, 0.144)
Si (0.764, 0.115, 0.856)
Si (0.885, 0.741, 0.649)
O (0.052, 0.293, 0.826)
O (0.128, 0.405, 0.496)
O (0.167, 0.136, 0.440)
O (0.182, 0.046, 0.766)
O (0.273, 0.833, 0.969)
O (0.280, 0.416, 0.234)
O (0.369, 0.872, 0.278)
O (0.467, 0.225, 0.174)
O (0.584, 0.818, 0.864)
O (0.595, 0.091, 0.722)
O (0.695, 0.727, 0.560)
O (0.707, 0.533, 0.758)
O (0.775, 0.948, 0.242)
O (0.864, 0.305, 0.031)
O (0.909, 0.631, 0.504)
O (0.954, 0.720, 0.136)
F (0.500, 0.500, 0.000)



The following is a DFT calculation (PBE) of Na2U2SiO8F2 after structural relaxation.

Results
Energy, eV/atom: -7.889
Symmetry: I4_1/amd (141)

a = 10.551 Å, b = 10.551 Å, c = 10.551 Å
α = 141.14°, β = 141.14°, γ = 56.12°
Sites, in units of the cell vectors:
Na (0.000, 0.000, 0.000)
Na (0.000, 0.000, 0.500)
Na (0.000, 0.500, 0.000)
Na (0.500, 0.000, 0.500)
U (0.202, 0.452, 0.750)
U (0.452, 0.202, 0.250)
U (0.548, 0.798, 0.750)
U (0.798, 0.548, 0.250)
Si (0.375, 0.625, 0.750)
Si (0.625, 0.375, 0.250)
O (0.140, 0.567, 0.573)
O (0.191, 0.203, 0.987)
O (0.203, 0.191, 0.487)
O (0.203, 0.716, 0.013)
O (0.284, 0.797, 0.487)
O (0.433, 0.505, 0.573)
O (0.433, 0.860, 0.927)
O (0.495, 0.567, 0.927)
O (0.505, 0.433, 0.073)
O (0.567, 0.140, 0.073)
O (0.567, 0.495, 0.427)
O (0.716, 0.203, 0.513)
O (0.797, 0.284, 0.987)
O (0.797, 0.809, 0.513)
O (0.809, 0.797, 0.013)
O (0.860, 0.433, 0.427)
F (0.083, 0.333, 0.750)
F (0.333, 0.083, 0.250)
F (0.667, 0.917, 0.750)
F (0.917, 0.667, 0.250)



The following is a DFT calculation (PBE) of NaSnO2F after structural relaxation.

Results
Energy, eV/atom: -4.071
Symmetry: P4/mmm (123)

a = 4.180 Å, b = 4.180 Å, c = 4.062 Å
α = 90.00°, β = 90.00°, γ = 90.00°
Sites, in units of the cell vectors:
Na (0.000, 0.000, 0.000)
Sn (0.500, 0.500, 0.500)
O (0.000, 0.500, 0.000)
O (0.500, 0.000, 0.000)
F (0.000, 0.000, 0.500)